# 1
Density functional theory data (PBE-GGA) for a geometry-optimized LiCoTe structure.

Calculated values
The magnetic moment is 0.0 Bohr magnetons per cell. The offset from the most stable computed form is 320 meV per atom.

Structure (POSCAR):
```
LiCoTe
1.0
-2.055 -1.023 -3.969
-1.146 -3.844 -2.222
-3.317 -0.803 0.434
Co Li Te
1 1 1
Direct
0.010 0.010 0.990
0.332 0.332 0.668
0.658 0.658 0.342
```



# 2
Density functional theory data (PBE-GGA) for a geometry-optimized LiCoTe4 structure.

Calculated values
The magnetic moment is 2.5 Bohr magnetons per cell. As for the uncorrected energy: -17.7 eV/cell.

Structure (POSCAR):
```
LiCoTe4
1.0
5.230 -3.092 1.923
-0.413 -4.424 4.568
0.775 -6.157 -1.448
Co Te Li
1 4 1
Direct
0.750 0.750 0.750
0.873 0.376 0.376
0.376 0.376 0.376
0.376 0.376 0.873
0.376 0.873 0.376
0.000 0.000 0.000
```



# 3
Density functional theory data (PBE-GGA) for a geometry-optimized LiCoTe2 structure.

Calculated values
The magnetic moment is 0.0 Bohr magnetons per cell. As for the uncorrected energy: -32.3 eV/cell.

Structure (POSCAR):
```
LiCoTe2
1.0
-5.109 -2.718 2.666
3.528 -5.057 1.606
0.391 -1.603 6.730
Te Li Co
4 2 2
Direct
0.674 0.125 0.250
0.875 0.924 0.750
0.375 0.326 0.750
0.076 0.625 0.250
0.250 0.750 0.500
0.500 0.500 0.000
0.750 0.250 0.500
0.000 0.000 0.000
```



# 4
Density functional theory data (PBE-GGA) for a geometry-optimized LiCoTe2 structure.

Calculated values
The magnetic moment is 1.3 Bohr magnetons per cell. As for the uncorrected energy: -15.0 eV/cell.

Structure (POSCAR):
```
LiCoTe2
1.0
6.029 0.000 0.000
3.533 4.886 0.000
-4.781 -2.443 2.744
Co Te Li
1 2 1
Direct
0.500 0.500 0.000
0.250 0.750 0.500
0.000 0.000 0.000
0.750 0.250 0.500
```



# 5
Density functional theory data (PBE-GGA) for a geometry-optimized LiCoTe3 structure.

Calculated values
The magnetic moment is 1.3 Bohr magnetons per cell. The offset from the most stable computed form is 0 meV per atom.

Structure (POSCAR):
```
LiCoTe3
1.0
-3.759 -3.138 1.513
3.359 -3.856 0.346
0.926 1.245 4.885
Te Co Li
3 1 1
Direct
0.000 0.000 0.500
0.500 0.000 0.000
0.000 0.500 0.000
0.000 0.000 0.000
0.500 0.500 0.500
```



# 6
Density functional theory data (PBE-GGA) for a geometry-optimized LiCoTe2 structure.

Calculated values
The magnetic moment is 0.0 Bohr magnetons per cell. As for the uncorrected energy: -15.6 eV/cell.

Structure (POSCAR):
```
LiCoTe2
1.0
5.388 -0.015 0.014
0.478 5.367 -0.014
-1.770 -3.950 3.208
Te Li Co
2 1 1
Direct
0.459 0.459 0.000
0.041 0.041 0.000
0.750 0.250 0.500
0.250 0.750 0.500
```



# 7
Density functional theory data (PBE-GGA) for a geometry-optimized Li2VCoTe structure.

Calculated values
The magnetic moment is 2.1 Bohr magnetons per cell. As for the uncorrected energy: -19.5 eV/cell.

Structure (POSCAR):
```
Li2VCoTe
1.0
-1.035 3.554 -3.172
-0.859 -2.918 -2.989
-4.661 -0.086 1.424
Li Te Co V
2 1 1 1
Direct
0.500 0.000 0.000
0.000 0.000 0.500
0.500 0.500 0.500
0.000 0.500 0.000
0.000 0.000 0.000
```



# 8
Density functional theory data (PBE-GGA) for a geometry-optimized Li2Th2Co15 structure.

Calculated values
As for the calculated formation energy: -0.09 eV/atom. The magnetic moment is 19.2 Bohr magnetons per cell.

Structure (POSCAR):
```
Li2Th2Co15
1.0
-6.055 -1.323 -1.229
-1.616 -1.481 5.926
-2.292 5.682 1.547
Co Li Th
15 2 2
Direct
0.347 0.848 0.347
0.000 0.289 0.711
0.000 0.000 0.500
0.711 0.000 0.289
0.500 0.000 0.000
0.653 0.152 0.653
0.848 0.347 0.347
0.289 0.000 0.711
0.152 0.653 0.653
0.711 0.289 0.000
0.289 0.711 0.000
0.000 0.711 0.289
0.347 0.347 0.848
0.000 0.500 0.000
0.653 0.653 0.152
0.905 0.905 0.905
0.095 0.095 0.095
0.344 0.344 0.344
0.656 0.656 0.656
```



# 9
Density functional theory data (PBE-GGA) for a geometry-optimized LiThCo structure.

Calculated values
As for the calculated formation energy: -0.11 eV/atom. The magnetic moment is 0.0 Bohr magnetons per cell.

Structure (POSCAR):
```
LiThCo
1.0
3.748 0.000 0.000
0.000 7.131 -0.068
0.000 -0.096 12.551
Li Th Co
6 6 6
Direct
0.250 0.017 0.079
0.250 0.869 0.467
0.750 0.131 0.533
0.750 0.983 0.921
0.750 0.631 0.807
0.250 0.369 0.193
0.750 0.049 0.288
0.750 0.667 0.080
0.250 0.333 0.920
0.750 0.542 0.371
0.250 0.951 0.712
0.250 0.458 0.629
0.750 0.729 0.597
0.750 0.234 0.747
0.250 0.725 0.932
0.250 0.766 0.253
0.750 0.275 0.068
0.250 0.271 0.403
```



# 10
Density functional theory data (PBE-GGA) for a geometry-optimized LiThCo4 structure.

Calculated values
As for the calculated formation energy: -0.09 eV/atom. The magnetic moment is 2.9 Bohr magnetons per cell.

Structure (POSCAR):
```
LiThCo4
1.0
-1.794 -3.374 3.137
2.911 -1.901 3.515
-0.752 1.185 4.741
Co Li Th
4 1 1
Direct
0.123 0.626 0.626
0.626 0.626 0.123
0.626 0.626 0.626
0.626 0.123 0.626
0.000 0.000 0.000
0.250 0.250 0.250
```



# 11
Density functional theory data (PBE-GGA) for a geometry-optimized LiThTlCo structure.

Calculated values
As for the calculated formation energy: -0.05 eV/atom. The magnetic moment is 0.3 Bohr magnetons per cell.

Structure (POSCAR):
```
LiThTlCo
1.0
-2.475 -1.971 -3.587
2.285 -2.413 -3.440
-0.433 -4.755 -0.277
Th Li Co Tl
1 1 1 1
Direct
0.750 0.750 0.750
0.000 0.000 0.000
0.500 0.500 0.500
0.250 0.250 0.250
```



# 12
Density functional theory data (PBE-GGA) for a geometry-optimized LiYThCo structure.

Calculated values
As for the calculated formation energy: 0.02 eV/atom. The magnetic moment is 0.2 Bohr magnetons per cell.

Structure (POSCAR):
```
LiYThCo
1.0
4.954 0.000 0.000
2.477 4.291 0.000
2.477 1.430 4.045
Th Y Co Li
1 1 1 1
Direct
0.000 0.000 0.000
0.500 0.500 0.500
0.250 0.250 0.250
0.750 0.750 0.750
```



# 13
Density functional theory data (PBE-GGA) for a geometry-optimized LiTiCo structure.

Calculated values
As for the calculated formation energy: -0.15 eV/atom. The magnetic moment is 0.0 Bohr magnetons per cell.

Structure (POSCAR):
```
LiTiCo
1.0
-0.157 0.408 -2.793
-1.130 -3.986 -0.519
-6.853 1.674 2.061
Li Co Ti
2 2 2
Direct
0.718 0.250 0.436
0.282 0.750 0.564
0.063 0.250 0.126
0.937 0.750 0.874
0.578 0.750 0.157
0.422 0.250 0.843
```



# 14
Density functional theory data (PBE-GGA) for a geometry-optimized Li3TiCo structure.

Calculated values
As for the calculated formation energy: 0.85 eV/atom. The magnetic moment is 0.0 Bohr magnetons per cell. The offset from the most stable computed form is 0 meV per atom.

Structure (POSCAR):
```
Li3TiCo
1.0
4.275 0.000 0.000
0.000 4.275 0.000
0.000 0.000 4.275
Co Li Ti
1 3 1
Direct
0.000 0.000 0.000
0.000 0.000 0.500
0.500 0.000 0.000
0.000 0.500 0.000
0.500 0.500 0.500
```



# 15
Density functional theory data (PBE-GGA) for a geometry-optimized LiTiCo3 structure.

Calculated values
As for the calculated formation energy: 0.94 eV/atom. The magnetic moment is 1.8 Bohr magnetons per cell. The offset from the most stable computed form is 400 meV per atom.

Structure (POSCAR):
```
LiTiCo3
1.0
4.322 0.000 0.000
0.000 4.322 0.000
0.000 0.000 4.322
Co Ti Li
3 1 1
Direct
0.500 0.000 0.000
0.000 0.500 0.000
0.000 0.000 0.500
0.000 0.000 0.000
0.500 0.500 0.500
```



# 16
Density functional theory data (PBE-GGA) for a geometry-optimized LiTiCo3 structure.

Calculated values
As for the calculated formation energy: 0.54 eV/atom. The magnetic moment is 1.8 Bohr magnetons per cell. The offset from the most stable computed form is 0 meV per atom.

Structure (POSCAR):
```
LiTiCo3
1.0
3.888 0.000 0.000
0.000 3.888 0.000
0.000 0.000 3.888
Co Li Ti
3 1 1
Direct
0.500 0.000 0.000
0.000 0.000 0.500
0.000 0.500 0.000
0.000 0.000 0.000
0.500 0.500 0.500
```



# 17
Density functional theory data (PBE-GGA) for a geometry-optimized LiTi3Co structure.

Calculated values
As for the calculated formation energy: 0.36 eV/atom. The magnetic moment is 2.0 Bohr magnetons per cell. The offset from the most stable computed form is 0 meV per atom.

Structure (POSCAR):
```
LiTi3Co
1.0
4.562 0.000 0.000
0.000 4.562 0.000
0.000 0.000 4.562
Ti Li Co
3 1 1
Direct
0.500 0.000 0.000
0.000 0.000 0.500
0.000 0.500 0.000
0.500 0.500 0.500
0.000 0.000 0.000
```



# 18
Density functional theory data (PBE-GGA) for a geometry-optimized LiTi3Co structure.

Calculated values
As for the calculated formation energy: 1.07 eV/atom. The magnetic moment is 0.0 Bohr magnetons per cell. The offset from the most stable computed form is 712 meV per atom.

Structure (POSCAR):
```
LiTi3Co
1.0
-1.745 -3.774 0.919
-0.058 -0.982 -4.143
3.884 -1.710 0.351
Li Ti Co
1 3 1
Direct
0.000 0.000 0.000
0.000 0.000 0.500
0.000 0.500 0.000
0.500 0.000 0.000
0.500 0.500 0.500
```



# 19
Density functional theory data (PBE-GGA) for a geometry-optimized LiTmTiCo structure.

Calculated values
As for the calculated formation energy: 0.01 eV/atom. The magnetic moment is 0.1 Bohr magnetons per cell.

Structure (POSCAR):
```
LiTmTiCo
1.0
-1.501 0.851 -4.196
-4.425 0.683 -0.731
-1.510 4.142 -1.073
Ti Co Tm Li
1 1 1 1
Direct
0.250 0.250 0.250
0.000 0.000 0.000
0.750 0.750 0.750
0.500 0.500 0.500
```



# 20
Density functional theory data (PBE-GGA) for a geometry-optimized LiTiVCo2 structure.

Calculated values
As for the calculated formation energy: 0.84 eV/atom. The magnetic moment is 0.5 Bohr magnetons per cell.

Structure (POSCAR):
```
LiTiVCo2
1.0
4.149 0.000 0.000
0.000 4.322 0.000
0.000 0.000 4.149
Li V Co Ti
1 1 2 1
Direct
0.000 0.500 0.000
0.000 0.000 0.000
0.500 0.000 0.000
0.000 0.000 0.500
0.500 0.500 0.500
```



# 21
Density functional theory data (PBE-GGA) for a geometry-optimized LiZr2TiCo structure.

Calculated values
As for the calculated formation energy: 0.74 eV/atom. The magnetic moment is 0.2 Bohr magnetons per cell.

Structure (POSCAR):
```
LiZr2TiCo
1.0
5.022 0.000 0.000
0.000 5.022 0.000
0.000 0.000 4.179
Li Co Ti Zr
1 1 1 2
Direct
0.500 0.500 0.500
0.000 0.000 0.500
0.000 0.000 0.000
0.000 0.500 0.000
0.500 0.000 0.000
```



# 22
Density functional theory data (PBE-GGA) for a geometry-optimized LiZrTiCo structure.

Calculated values
As for the calculated formation energy: -0.02 eV/atom. The magnetic moment is 0.0 Bohr magnetons per cell.

Structure (POSCAR):
```
LiZrTiCo
1.0
-1.612 1.015 3.996
2.385 -0.851 3.630
1.768 3.331 2.318
Li Zr Ti Co
1 1 1 1
Direct
0.500 0.500 0.500
0.750 0.750 0.750
0.250 0.250 0.250
0.000 0.000 0.000
```



# 23
Density functional theory data (PBE-GGA) for a geometry-optimized Li2Tl2Co structure.

Calculated values
As for the calculated formation energy: 0.21 eV/atom. The magnetic moment is 2.7 Bohr magnetons per cell. The offset from the most stable computed form is 0 meV per atom.

Structure (POSCAR):
```
Li2Tl2Co
1.0
7.131 0.000 0.000
0.000 7.131 0.000
0.000 0.000 3.818
Li Tl Co
4 4 2
Direct
0.849 0.349 0.500
0.151 0.651 0.500
0.349 0.151 0.500
0.651 0.849 0.500
0.659 0.159 0.000
0.341 0.841 0.000
0.159 0.341 0.000
0.841 0.659 0.000
0.500 0.500 0.000
0.000 0.000 0.000
```



# 24
Density functional theory data (PBE-GGA) for a geometry-optimized LiTlCo structure.

Calculated values
As for the calculated formation energy: 0.29 eV/atom. The magnetic moment is 1.1 Bohr magnetons per cell. The offset from the most stable computed form is 0 meV per atom.

Structure (POSCAR):
```
LiTlCo
1.0
4.902 0.042 -0.040
2.568 4.176 0.040
-3.548 -2.440 2.343
Tl Li Co
1 1 1
Direct
0.664 0.664 0.000
0.344 0.344 0.000
0.993 0.993 0.000
```



# 25
Density functional theory data (PBE-GGA) for a geometry-optimized LiTl2Co2 structure.

Calculated values
As for the calculated formation energy: 0.32 eV/atom. The magnetic moment is 4.5 Bohr magnetons per cell.

Structure (POSCAR):
```
LiTl2Co2
1.0
7.395 0.000 0.000
0.000 7.395 0.000
0.000 0.000 3.205
Co Tl Li
4 4 2
Direct
0.111 0.389 0.000
0.611 0.111 0.000
0.389 0.889 0.000
0.889 0.611 0.000
0.317 0.183 0.500
0.817 0.317 0.500
0.183 0.683 0.500
0.683 0.817 0.500
0.500 0.500 0.000
0.000 0.000 0.000
```



# 26
Density functional theory data (PBE-GGA) for a geometry-optimized LiTl3Co structure.

Calculated values
As for the calculated formation energy: 0.18 eV/atom. The magnetic moment is 0.0 Bohr magnetons per cell. The offset from the most stable computed form is 0 meV per atom.

Structure (POSCAR):
```
LiTl3Co
1.0
-2.445 3.574 -2.630
-4.210 -0.919 2.666
1.403 3.472 3.413
Co Li Tl
1 1 3
Direct
0.000 0.000 0.000
0.500 0.500 0.500
0.000 0.500 0.000
0.500 0.000 0.000
0.000 0.000 0.500
```



# 27
Density functional theory data (PBE-GGA) for a geometry-optimized Li2TlCo structure.

Calculated values
As for the calculated formation energy: 0.19 eV/atom. The magnetic moment is 1.2 Bohr magnetons per cell.

Structure (POSCAR):
```
Li2TlCo
1.0
-1.616 -4.298 0.432
2.141 -0.613 1.917
-2.415 1.307 3.972
Co Tl Li
1 1 2
Direct
0.500 0.750 0.750
0.500 0.250 0.250
0.000 0.980 0.977
0.000 0.520 0.523
```